# PBE NbTlAsO, relaxed
data_NbTlAsO
_chemical_formula_sum 'Nb2 Tl2 As2 O2'
_cell_length_a 4.061
_cell_length_b 4.061
_cell_length_c 9.304
_cell_angle_alpha 90.00
_cell_angle_beta 90.00
_cell_angle_gamma 90.00
_symmetry_space_group_name_H-M 'P 4/n m m'
_symmetry_Int_Tables_number 129
loop_
_symmetry_equiv_pos_as_xyz
'x,y,z'
'-x,-y,-z'
'-y+1/2,x,z'
'y+1/2,-x,-z'
'-x+1/2,-y+1/2,z'
'x+1/2,y+1/2,-z'
'y,-x+1/2,z'
'-y,x+1/2,-z'
'x+1/2,-y,-z'
'-x+1/2,y,z'
'-y,-x,-z'
'y,x,z'
'-x,y+1/2,-z'
'x,-y+1/2,z'
'y+1/2,x+1/2,-z'
'-y+1/2,-x+1/2,z'
loop_
_atom_site_label
_atom_site_fract_x
_atom_site_fract_y
_atom_site_fract_z
_atom_site_occupancy
Nb1 0.250 0.250 0.082 1
Tl1 0.250 0.750 0.500 1
As1 0.250 0.250 0.780 1
O1 0.250 0.750 0.000 1
# - E_tot: -5.959 eV/atom
# - Crystal system: tetragonal